(1)
Material: MgCoOs2
Method: DFT, meta-GGA SCAN
State: single point on PBEsol structure

- uncorrected energy (eV per atom) = -41.15
- ΔH_f (0 K) (meV per atom) = 359.1
- density (g cm⁻³) = 14.2

a b c (Å): 3.6678 3.6678 4.0167
angles (deg): 90.00 90.00 90.00
Site moments in Bohr magnetons follow the coordinates.
Positions (direct):
1 Co 0.5000 0.5000 0.5000  1.67
2 Mg 0.0000 0.0000 0.5000  -0.01
3 Os 0.0000 0.5000 0.0000  0.05
4 Os 0.5000 0.0000 0.0000  0.05

***

(2)
Material: MgCo2Os
Method: DFT, meta-GGA SCAN
State: single point on PBEsol structure

- uncorrected energy (eV per atom) = -27.64
- ΔH_f (0 K) (meV per atom) = 221.8
- density (g cm⁻³) = 10.8

a b c (Å): 2.6451 2.6451 7.3033
angles (deg): 90.00 90.00 90.00
Site moments in Bohr magnetons follow the coordinates.
Positions (direct):
1 Co 0.0000 0.0000 0.0115  1.56
2 Co 0.5000 0.5000 0.2199  1.78
3 Mg 0.0000 0.0000 0.4866  -0.02
4 Os 0.5000 0.5000 0.7821  -0.04

***

(3)
Material: MgCoOs
Method: DFT, meta-GGA SCAN
State: single point on PBEsol structure

- uncorrected energy (eV per atom) = -31.14
- ΔH_f (0 K) (meV per atom) = 250.1
- distance to the lowest polymorph of the same formula (meV per atom) = 0
- density (g cm⁻³) = 11.0

a b c (Å): 2.7116 2.7116 6.4819
angles (deg): 90.00 90.00 120.00
Site moments in Bohr magnetons follow the coordinates.
Positions (direct):
1 Co 0.0000 0.0000 0.0137  1.50
2 Mg 0.6667 0.3333 0.6761  -0.01
3 Os 0.3333 0.6667 0.3101  -0.03

***

(4)
Material: MgCo2Os
Method: DFT, meta-GGA SCAN
State: single point on PBEsol structure

- uncorrected energy (eV per atom) = -27.52
- ΔH_f (0 K) (meV per atom) = 345.3
- density (g cm⁻³) = 11.3

a b c (Å): 3.5946 3.5946 4.5693
angles (deg): 113.16 113.16 90.00
Site moments in Bohr magnetons follow the coordinates.
Positions (direct):
1 Co 0.0000 0.0000 0.0000  -0.78
2 Co 0.7500 0.2500 0.5000  1.66
3 Mg 0.5000 0.5000 0.0000  -0.01
4 Os 0.2500 0.7500 0.5000  0.49

***

Question: ΔH_f (0 K) of number 2 (MgCo2Os)?
Answer: 221.8 meV per atom

***

Question: Which of these has the highest uncorrected energy?
Answer: number 4

***

Question: density of number 4 (MgCo2Os)?
Answer: 11.3 g cm⁻³

***

What did the fourth record say?
Material: MgCo2Os
Method: DFT, meta-GGA SCAN
State: single point on PBEsol structure

- uncorrected energy (eV per atom) = -27.52
- ΔH_f (0 K) (meV per atom) = 345.3
- density (g cm⁻³) = 11.3

a b c (Å): 3.5946 3.5946 4.5693
angles (deg): 113.16 113.16 90.00
Site moments in Bohr magnetons follow the coordinates.
Positions (direct):
1 Co 0.0000 0.0000 0.0000  -0.78
2 Co 0.7500 0.2500 0.5000  1.66
3 Mg 0.5000 0.5000 0.0000  -0.01
4 Os 0.2500 0.7500 0.5000  0.49